[1]
Tb2GdPt PBE relaxed; polymorph energy (0 for the lowest one) = 0.000 eV per atom; E_tot = -31.7 eV for the cell shown; space-group type = P4/mmm; mass density = 10.17 Mg/m³; DFT formation energy = -577.4 meV/atom; density of states at the Fermi level = 1.348 states/eV per atom
1.0
-0.3496 -2.8875 -2.0895
-0.3437 -2.0625 2.9076
-8.4542 1.1542 -0.1806
Gd Tb Pt
1 2 1
Cartesian
-4.5737 -1.8979 0.3187
-6.8252 0.9318 -0.1458
-1.6290 0.2224 -0.0348
-0.3466 -2.4750 0.4090

=====

[2]
HgRh2Se3 PBE relaxed; uncorrected formation energy = -0.3126 eV/atom; E_tot = -54.7 eV for the cell shown; space-group type = C2/m; mass density = 8.60 Mg/m³; density of states at the Fermi level = 0.105 states/eV per atom
1.0
-2.9043 1.3114 -1.6686
-0.3058 -3.2558 -5.9038
-7.5526 -6.4804 4.1752
Hg Rh Se
2 4 6
Cartesian
-6.5856 -5.8530 -0.8920
-4.1771 -2.5718 -2.5053
-9.2730 -5.6399 0.0760
-1.4896 -2.7849 -3.4732
-6.6446 -3.7108 0.8944
-4.1181 -4.7140 -4.2916
-6.1401 -4.8650 2.9864
-4.6225 -3.5599 -6.3837
-9.5120 -7.7917 -1.1994
-1.2507 -0.6331 -2.1978
-6.6247 -4.7878 -3.8639
-4.1380 -3.6370 0.4666

=====

[3]
Si3RuS PBE relaxed; uncorrected formation energy = 1.0739 eV/atom; polymorph energy (0 for the lowest one) = 0.871 eV per atom; E_tot = -24.3 eV for the cell shown; space-group type = Pm-3m; mass density = 4.41 Mg/m³; density of states at the Fermi level = 0.676 states/eV per atom
1.0
-2.6443 -0.9300 -3.3160
3.1361 -2.3779 -1.8340
-1.4232 -3.5120 2.1199
Ru S Si
1 1 3
Cartesian
-0.4657 -3.4100 -1.5151
0.0000 0.0000 0.0000
1.5681 -1.1890 -0.9170
-0.7116 -1.7560 1.0599
-1.3222 -0.4650 -1.6580

=====

[4]
CsRb3Be PBE relaxed; polymorph energy (0 for the lowest one) = 0.480 eV per atom; E_tot = -2.6 eV for the cell shown; space-group type = Pm-3m; mass density = 0.97 Mg/m³; DFT formation energy = 968.1 meV/atom; density of states at the Fermi level = 1.076 states/eV per atom
1.0
-0.9847 4.2038 7.6779
-2.2689 -7.5848 3.8619
8.4542 -1.5459 1.9307
Cs Be Rb
1 1 3
Cartesian
0.0000 0.0000 0.0000
2.6003 -2.4634 6.7352
-1.1344 -3.7924 1.9309
4.2271 -0.7729 0.9654
-0.4924 2.1019 3.8389

=====

[5]
V3ZnGe PBE relaxed; polymorph energy (0 for the lowest one) = 0.847 eV per atom; E_tot = -28.6 eV for the cell shown; space-group type = Pm-3m; mass density = 5.21 Mg/m³; DFT formation energy = 936.8 meV/atom; density of states at the Fermi level = 1.183 states/eV per atom
1.0
-0.2694 4.4551 0.7559
-2.2508 -0.7889 3.8475
3.9183 -0.1469 2.2621
Ge Zn V
1 1 3
Cartesian
0.0000 0.0000 0.0000
0.6991 1.7597 3.4327
-1.1254 -0.3944 1.9238
1.9591 -0.0734 1.1311
-0.1347 2.2275 0.3779

=====

[6]
Ta2TcHg PBE relaxed; E_tot = -33.6 eV for the cell shown; space-group type = Cmm2; mass density = 15.18 Mg/m³; DFT formation energy = 183.3 meV/atom; density of states at the Fermi level = 0.854 states/eV per atom
1.0
-0.1524 1.2806 -2.5762
1.9003 -2.1647 -0.0502
-6.7594 -5.8752 -2.5207
Hg Ta Tc
1 2 1
Cartesian
-4.1506 -4.8094 -3.1870
-0.0841 -0.0731 -0.0314
-0.8987 -1.9828 -1.9743
-3.2577 -2.8316 -1.2149